Li2LaAg | PBE-GGA | relaxed

Summary:
* total magnetization: 0.00 μB per cell
* offset from the most stable computed form: 0.170 eV per atom

Lattice parameters (Å, degrees): 4.3502 4.3502 21.3348 90.00 90.00 90.00
With the nearest neighbours (Å) after each atom.
Positions (direct):
Li 0.1670 0.2500 0.1250  2 Li 2.62
Li 0.2500 0.6670 0.3750  2 Li 2.62
Li 0.2500 0.8330 0.8750  2 Li 2.62
Li 0.3330 0.2500 0.6250  2 Li 2.62
Li 0.6670 0.7500 0.6250  2 Li 2.62
Li 0.7500 0.1670 0.8750  2 Li 2.62
Li 0.7500 0.3330 0.3750  2 Li 2.62
Li 0.8330 0.7500 0.1250  2 Li 2.62
La 0.0000 0.0000 0.5000  4 Ag 3.08, 4 Li 3.22
La 0.0000 0.5000 0.7500  4 Ag 3.08, 4 Li 3.22
La 0.5000 0.0000 0.2500  4 Ag 3.08, 4 Li 3.22
La 0.5000 0.5000 0.0000  4 Ag 3.08, 4 Li 3.22
Ag 0.0000 0.0000 0.0000  4 Li 2.97, 4 La 3.08
Ag 0.0000 0.5000 0.2500  4 Li 2.97, 4 La 3.08
Ag 0.5000 0.0000 0.7500  4 Li 2.97, 4 La 3.08
Ag 0.5000 0.5000 0.5000  4 Li 2.97, 4 La 3.08



Li7LaAg5 | PBE-GGA | relaxed

Summary:
* total magnetization: 0.00 μB per cell

Lattice parameters (Å, degrees): 7.2123 7.2123 7.2123 134.03 96.50 101.06
With the nearest neighbours (Å) after each atom.
Positions (direct):
Li 0.0000 0.0000 0.0000  5 Li 2.75-3.06, 4 Ag 2.84
Li 0.0317 0.6763 0.3554  4 Li 2.78-3.11, 5 Ag 2.80-2.96
Li 0.2999 0.2999 0.0000  3 Li 2.75-2.99, 4 Ag 3.03
Li 0.3209 0.6763 0.6446  4 Li 2.78-3.11, 5 Ag 2.80-2.96
Li 0.4384 0.1581 0.2802  5 Ag 2.70-2.83, 2 Li 2.96-2.99
Li 0.8779 0.1581 0.7198  5 Ag 2.70-2.83, 2 Li 2.96-2.99
Li 0.8845 0.3845 0.5000  4 Ag 2.72, 6 Li 2.96-3.01
La 0.6397 0.6397 0.0000  4 Li 3.12-3.43, 2 Ag 3.30
Ag 0.1525 0.1630 0.4933  6 Li 2.70-2.96, 3 Ag 2.80-2.89
Ag 0.1525 0.6592 0.9895  6 Li 2.70-2.96, 3 Ag 2.80-2.89
Ag 0.4522 0.9522 0.5000  6 Li 2.83-3.14, 4 Ag 2.89
Ag 0.6697 0.1630 0.0105  6 Li 2.70-2.96, 3 Ag 2.80-2.89
Ag 0.6697 0.6592 0.5067  6 Li 2.70-2.96, 3 Ag 2.80-2.89



Li2LaAg | PBE-GGA | relaxed

Summary:
* total magnetization: 0.00 μB per cell
* offset from the most stable computed form: 0.058 eV per atom

Lattice parameters (Å, degrees): 3.3713 5.4331 10.5996 90.00 90.00 90.00
With the nearest neighbours (Å) after each atom.
Positions (direct):
Li 0.0000 0.0000 0.2091  2 Ag 2.78
Li 0.0000 0.0000 0.7909  2 Ag 2.78
Li 0.5000 0.5000 0.2909  2 Ag 2.78
Li 0.5000 0.5000 0.7091  2 Ag 2.78
La 0.0000 0.5000 0.0000  4 Ag 3.20, 2 La 3.37, 8 Li 3.51
La 0.5000 0.0000 0.5000  4 Ag 3.20, 2 La 3.37, 8 Li 3.51
Ag 0.0000 0.5000 0.5000  4 Li 2.78
Ag 0.5000 0.0000 0.0000  4 Li 2.78



LiLaAg3 | PBE-GGA | relaxed

Summary:
* total magnetization: 0.00 μB per cell
* offset from the most stable computed form: 0.000 eV per atom

Lattice parameters (Å, degrees): 13.1944 5.8400 5.8423 90.00 90.00 90.00
With the nearest neighbours (Å) after each atom.
Positions (direct):
Li 0.0004 0.2500 0.2500  8 Ag 2.80-2.92
Li 0.9996 0.7500 0.7500  8 Ag 2.80-2.92
Li 0.5004 0.2500 0.7500  8 Ag 2.80-2.92
Li 0.4996 0.7500 0.2500  8 Ag 2.80-2.92
La 0.2500 0.0000 0.0012  8 Ag 3.24-3.25
La 0.2500 0.5000 0.4988  8 Ag 3.24-3.25
La 0.7500 0.0000 0.9988  8 Ag 3.24-3.25
La 0.7500 0.5000 0.5012  8 Ag 3.24-3.25
Ag 0.0008 0.7500 0.2500  4 Ag 2.80, 4 Li 2.92
Ag 0.1430 0.0004 0.5016  3 Ag 2.80-2.82, 2 Li 2.80
Ag 0.1430 0.4996 0.9984  3 Ag 2.80-2.82, 2 Li 2.80
Ag 0.3570 0.9996 0.5016  3 Ag 2.80-2.82, 2 Li 2.80
Ag 0.3570 0.5004 0.9984  3 Ag 2.80-2.82, 2 Li 2.80
Ag 0.4992 0.2500 0.2500  4 Ag 2.80, 4 Li 2.92
Ag 0.5008 0.7500 0.7500  4 Ag 2.80, 4 Li 2.92
Ag 0.6430 0.0004 0.4984  3 Ag 2.80-2.82, 2 Li 2.80
Ag 0.6430 0.4996 0.0016  3 Ag 2.80-2.82, 2 Li 2.80
Ag 0.8570 0.9996 0.4984  3 Ag 2.80-2.82, 2 Li 2.80
Ag 0.8570 0.5004 0.0016  3 Ag 2.80-2.82, 2 Li 2.80
Ag 0.9992 0.2500 0.7500  4 Ag 2.80, 4 Li 2.92



Li2LaAg | PBE-GGA | relaxed

Summary:
* total magnetization: 0.00 μB per cell
* offset from the most stable computed form: 0.080 eV per atom

Lattice parameters (Å, degrees): 3.3203 5.2039 5.4997 90.00 94.50 90.00
With the nearest neighbours (Å) after each atom.
Positions (direct):
Li 0.1635 0.0000 0.2876  1 Li 2.65, 2 Ag 2.92
Li 0.8365 0.0000 0.7124  1 Li 2.65, 2 Ag 2.92
La 0.5000 0.5000 0.0000  4 Ag 3.10-3.32, 4 Li 3.29, 2 La 3.32
Ag 0.0000 0.5000 0.5000  4 Li 2.92, 2 La 3.10



LiLa3Ag | PBE-GGA | relaxed

Summary:
* total magnetization: 1.68 μB per cell
* offset from the most stable computed form: 0.000 eV per atom

Lattice parameters (Å, degrees): 5.9097 5.9097 5.9097 90.00 90.00 90.00
With the nearest neighbours (Å) after each atom.
Positions (direct):
Li 0.0000 0.0000 0.0000  12 La 4.18
La 0.0000 0.5000 0.5000  2 Ag 2.95
La 0.5000 0.0000 0.5000  2 Ag 2.95
La 0.5000 0.5000 0.0000  2 Ag 2.95
Ag 0.5000 0.5000 0.5000  6 La 2.95



LiLaAg | PBE-GGA | relaxed

Summary:
* total magnetization: 0.00 μB per cell
* offset from the most stable computed form: 0.000 eV per atom

Lattice parameters (Å, degrees): 7.3371 7.3371 4.8037 90.00 90.00 120.00
With the nearest neighbours (Å) after each atom.
Positions (direct):
Li 0.0000 0.2263 0.0000  2 Li 2.88, 4 Ag 2.92
Li 0.2263 0.0000 0.0000  2 Li 2.88, 4 Ag 2.92
Li 0.7737 0.7737 0.0000  2 Li 2.88, 4 Ag 2.92
La 0.0000 0.5693 0.5000  5 Ag 3.16-3.24, 2 Li 3.48
La 0.4307 0.4307 0.5000  5 Ag 3.16-3.24, 2 Li 3.48
La 0.5693 0.0000 0.5000  5 Ag 3.16-3.24, 2 Li 3.48
Ag 0.0000 0.0000 0.5000  6 Li 2.92, 3 La 3.16
Ag 0.3333 0.6667 0.0000  3 Li 2.92, 6 La 3.24
Ag 0.6667 0.3333 0.0000  3 Li 2.92, 6 La 3.24



LiLaAg3 | PBE-GGA | relaxed

Summary:
* total magnetization: 0.00 μB per cell
* offset from the most stable computed form: 0.137 eV per atom

Lattice parameters (Å, degrees): 4.7993 4.7993 4.7993 90.00 90.00 90.00
With the nearest neighbours (Å) after each atom.
Positions (direct):
Li 0.0000 0.0000 0.0000  6 Ag 2.40
La 0.5000 0.5000 0.5000  12 Ag 3.39
Ag 0.0000 0.0000 0.5000  2 Li 2.40
Ag 0.0000 0.5000 0.0000  2 Li 2.40
Ag 0.5000 0.0000 0.0000  2 Li 2.40



Li4LaAg5 | PBE-GGA | relaxed

Summary:
* total magnetization: 0.01 μB per cell

Lattice parameters (Å, degrees): 3.2864 3.2864 16.7957 90.00 90.00 90.00
With the nearest neighbours (Å) after each atom.
Positions (direct):
Li 0.0000 0.0000 0.0906  8 Ag 2.77-2.78, 2 Li 3.04
Li 0.0000 0.0000 0.2714  8 Ag 2.75-2.78, 1 Li 3.04
Li 0.0000 0.0000 0.7286  8 Ag 2.75-2.78, 1 Li 3.04
Li 0.0000 0.0000 0.9094  8 Ag 2.77-2.78, 2 Li 3.04
La 0.0000 0.0000 0.5000  4 La 3.29, 8 Ag 3.31
Ag 0.5000 0.5000 0.0000  8 Li 2.78, 2 Ag 3.03
Ag 0.5000 0.5000 0.1806  8 Li 2.77-2.78, 2 Ag 3.00-3.03
Ag 0.5000 0.5000 0.3593  4 Li 2.75, 1 Ag 3.00
Ag 0.5000 0.5000 0.6407  4 Li 2.75, 1 Ag 3.00
Ag 0.5000 0.5000 0.8194  8 Li 2.77-2.78, 2 Ag 3.00-3.03



Li6LaAg12 | PBE-GGA | relaxed

Summary:
* total magnetization: 0.00 μB per cell

Lattice parameters (Å, degrees): 7.4215 7.4215 7.4215 105.61 105.61 105.61
With the nearest neighbours (Å) after each atom.
Positions (direct):
Li 0.2746 0.2746 0.7084  7 Ag 2.55-2.74
Li 0.2746 0.7084 0.2746  7 Ag 2.55-2.74
Li 0.2916 0.7254 0.7254  7 Ag 2.55-2.74
Li 0.7084 0.2746 0.2746  7 Ag 2.55-2.74
Li 0.7254 0.2916 0.7254  7 Ag 2.55-2.74
Li 0.7254 0.7254 0.2916  7 Ag 2.55-2.74
La 0.0000 0.0000 0.0000  6 Ag 3.23
Ag 0.1177 0.5000 0.8823  4 Li 2.55-2.65, 3 Ag 2.78-2.85
Ag 0.1177 0.8823 0.5000  4 Li 2.55-2.65, 3 Ag 2.78-2.85
Ag 0.1445 0.3965 0.3965  4 Li 2.65-2.92, 2 Ag 2.85
Ag 0.3965 0.1445 0.3965  4 Li 2.65-2.92, 2 Ag 2.85
Ag 0.3965 0.3965 0.1445  4 Li 2.65-2.92, 2 Ag 2.85
Ag 0.5000 0.1177 0.8823  4 Li 2.55-2.65, 3 Ag 2.78-2.85
Ag 0.5000 0.8823 0.1177  4 Li 2.55-2.65, 3 Ag 2.78-2.85
Ag 0.6035 0.6035 0.8555  4 Li 2.65-2.92, 2 Ag 2.85
Ag 0.6035 0.8555 0.6035  4 Li 2.65-2.92, 2 Ag 2.85
Ag 0.8555 0.6035 0.6035  4 Li 2.65-2.92, 2 Ag 2.85
Ag 0.8823 0.1177 0.5000  4 Li 2.55-2.65, 3 Ag 2.78-2.85
Ag 0.8823 0.5000 0.1177  4 Li 2.55-2.65, 3 Ag 2.78-2.85



Li2La2Ag3 | PBE-GGA | relaxed

Summary:
* total magnetization: 0.00 μB per cell

Lattice parameters (Å, degrees): 10.2179 10.2179 8.1249 90.00 90.00 156.57
With the nearest neighbours (Å) after each atom.
Positions (direct):
Li 0.1922 0.8078 0.5573  3 Ag 2.66-2.79
Li 0.1922 0.8078 0.9427  3 Ag 2.66-2.79
Li 0.8078 0.1922 0.0573  3 Ag 2.66-2.79
Li 0.8078 0.1922 0.4427  3 Ag 2.66-2.79
La 0.3425 0.6575 0.7500  6 Ag 3.16-3.21, 6 Li 3.32-3.39
La 0.4456 0.5544 0.2500  9 Ag 3.32-3.46
La 0.5544 0.4456 0.7500  9 Ag 3.32-3.46
La 0.6575 0.3425 0.2500  6 Ag 3.16-3.21, 6 Li 3.32-3.39
Ag 0.0629 0.9371 0.0706  2 Ag 2.77-2.91, 1 Li 2.79
Ag 0.0629 0.9371 0.4294  2 Ag 2.77-2.91, 1 Li 2.79
Ag 0.2797 0.7203 0.2500  4 Li 2.66
Ag 0.7203 0.2797 0.7500  4 Li 2.66
Ag 0.9371 0.0629 0.5706  2 Ag 2.77-2.91, 1 Li 2.79
Ag 0.9371 0.0629 0.9294  2 Ag 2.77-2.91, 1 Li 2.79



Li2La3Ag9 | PBE-GGA | relaxed

Summary:
* total magnetization: 0.00 μB per cell

Lattice parameters (Å, degrees): 8.6970 8.6970 8.6970 148.61 110.99 77.77
With the nearest neighbours (Å) after each atom.
Positions (direct):
Li 0.1905 0.0000 0.1905  8 Ag 2.72-3.01
Li 0.8095 0.0000 0.8095  8 Ag 2.72-3.01
La 0.2092 0.2092 0.0000  12 Ag 3.26-3.59, 2 Li 3.40
La 0.5000 0.5000 0.0000  12 Ag 3.30-3.49
La 0.7908 0.7908 0.0000  12 Ag 3.26-3.59, 2 Li 3.40
Ag 0.0000 0.5000 0.5000  4 Ag 2.74, 4 Li 3.01
Ag 0.0867 0.3716 0.7152  4 Ag 2.74-2.96, 2 Li 2.94
Ag 0.1985 0.8401 0.3584  1 Li 2.72, 4 Ag 2.78-2.96
Ag 0.3436 0.6284 0.7152  4 Ag 2.74-2.96, 2 Li 2.94
Ag 0.4817 0.8401 0.6416  1 Li 2.72, 4 Ag 2.78-2.96
Ag 0.5183 0.1599 0.3584  1 Li 2.72, 4 Ag 2.78-2.96
Ag 0.6564 0.3716 0.2848  4 Ag 2.74-2.96, 2 Li 2.94
Ag 0.8015 0.1599 0.6416  1 Li 2.72, 4 Ag 2.78-2.96
Ag 0.9133 0.6284 0.2848  4 Ag 2.74-2.96, 2 Li 2.94



Sequential energy of formation output: 62; -154; -50; -206; -28; 341; -176; -69; -204; -64; -195; -226 meV per atom